1.
# YScCd

A PBEsol-optimized structure of YScCd (meta-GGA SCAN, the Alexandria database).

a b c (Å): 6.7509 6.7509 6.7509
angles (deg): 150.71 150.71 41.90
Atoms (fractional coordinates):
Y  0.0000  0.0000  0.0000
Sc  0.3151  0.3151  0.0000
Cd  0.6707  0.6707  0.0000

Properties
Size of the total moment = 1.15 μB/f.u.
Calculated total energy = -73.33 eV per formula unit
Symmetry = No. 107



2.
# YScCd2

A PBEsol-optimized structure of YScCd2 (meta-GGA SCAN, the Alexandria database).

a b c (Å): 3.5642 3.5642 7.2310
angles (deg): 90.00 90.00 90.00
Atoms (fractional coordinates):
Y  0.0000  0.0000  0.0000
Sc  0.0000  0.0000  0.5000
Cd  0.5000  0.5000  0.2728
Cd  0.5000  0.5000  0.7272

Properties
Size of the total moment = 0.00 μB/f.u.
Calculated total energy = -104.76 eV per formula unit
Symmetry = No. 123